# MgCrPd (PBE, relaxed)
# D(E_F): 3.37 states/eV per cell
# Spin magnetization: 0.0 μB/cell
# Energy of formation from the pure elements: -0.54 eV/f.u.
# Crystal system: monoclinic
data_MgCrPd
_chemical_formula_sum 'Mg2 Cr2 Pd2'
_symmetry_space_group_name_H-M 'P 1 m 1'
_symmetry_Int_Tables_number 6
_cell_length_a 2.9819
_cell_length_b 2.9768
_cell_length_c 10.1326
_cell_angle_alpha 90.00
_cell_angle_beta 91.66
_cell_angle_gamma 90.00
loop_
_symmetry_equiv_pos_as_xyz
'x,y,z'
'x,-y,z'
loop_
_atom_site_label
_atom_site_type_symbol
_atom_site_fract_x
_atom_site_fract_y
_atom_site_fract_z
Mg1 Mg 0.0000 0.0000 0.0000
Mg2 Mg 0.0304 0.0000 0.3490
Cr1 Cr 0.5518 0.5000 0.5401
Cr2 Cr 0.9525 0.0000 0.6486
Pd1 Pd 0.4896 0.5000 0.8241
Pd2 Pd 0.5151 0.5000 0.1769


# AcCdN (PBE, relaxed)
# D(E_F): 8.60 states/eV per cell
# Total DFT energy (no corrections): -15.04 eV per formula unit
# Spin magnetization: 0.0 μB/cell
# Crystal system: monoclinic
data_AcCdN
_chemical_formula_sum 'Ac4 Cd4 N4'
_symmetry_space_group_name_H-M 'C 1 2/m 1'
_symmetry_Int_Tables_number 12
_cell_length_a 6.2069
_cell_length_b 6.2064
_cell_length_c 8.4668
_cell_angle_alpha 90.00
_cell_angle_beta 90.13
_cell_angle_gamma 90.00
loop_
_symmetry_equiv_pos_as_xyz
'x,y,z'
'-x,-y,-z'
'-x,y,-z'
'x,-y,z'
'x+1/2,y+1/2,z'
'-x+1/2,-y+1/2,-z'
'-x+1/2,y+1/2,-z'
'x+1/2,-y+1/2,z'
loop_
_atom_site_label
_atom_site_type_symbol
_atom_site_fract_x
_atom_site_fract_y
_atom_site_fract_z
Ac1 Ac 0.2504 0.0000 0.1353
Cd1 Cd 0.2499 0.0000 0.5672
N1 N 0.0000 0.2501 0.0000